Compound: Pm3Pr2Mg
Source: the Alexandria database
Functional: GGA-PBE
Structure: relaxed

Geometry as POSCAR:
```
Pm3Pr2Mg
1.0
5.118 0.000 0.000
0.000 4.789 -1.619
0.000 0.079 8.124
Pr Pm Mg
2 3 1
Cartesian
0.000 1.659 4.908 Pr
0.000 3.208 1.597 Pr
2.559 0.826 2.442 Pm
2.559 2.395 -0.810 Pm
2.559 4.042 4.063 Pm
0.000 0.000 0.000 Mg
```

Properties
- space group = No. 65
- calculated volume (Å³/atom) = 33.30
- D(E_F) (states/eV per cell) = 8.31
- size of the total moment (μB/atom) = 0.000
- calculated formation energy (meV per atom) = 9
- energy (eV per atom) = -4.225
- mass density (Mg/m³) = 6.16